[1]
Computed, not measured: crystalline EuMgGa at its relaxed geometry at the PBE-GGA level of DFT.

Cell and atoms, written as POSCAR:
```
EuMgGa
1.0
7.002 0.000 0.000
0.000 7.002 0.000
0.000 0.000 7.002
Eu Mg Ga
4 4 4
direct
0.000 0.000 0.000
0.000 0.500 0.500
0.500 0.000 0.500
0.500 0.500 0.000
0.000 0.000 0.500
0.000 0.500 0.000
0.500 0.000 0.000
0.500 0.500 0.500
0.250 0.250 0.750
0.250 0.750 0.250
0.750 0.250 0.250
0.750 0.750 0.750
```

ΔH_f (0 K) = -56 kJ/mol of formula units
Space-group type = F-43m, No. 216
DOS at the Fermi energy = 10.2 states/eV/f.u.
Spin magnetization = 2.40 μB per atom
Calculated total energy = -61.91 eV for the cell shown

---

[2]
Computed, not measured: crystalline NaEuMgGa at its relaxed geometry at the PBE-GGA level of DFT.

Cell and atoms, written as POSCAR:
```
NaEuMgGa
1.0
7.345 0.000 0.000
0.000 7.345 0.000
0.000 0.000 7.345
Na Eu Mg Ga
4 4 4 4
direct
0.000 0.000 0.000
0.000 0.500 0.500
0.500 0.000 0.500
0.500 0.500 0.000
0.250 0.250 0.250
0.250 0.750 0.750
0.750 0.250 0.750
0.750 0.750 0.250
0.250 0.250 0.750
0.250 0.750 0.250
0.750 0.250 0.250
0.750 0.750 0.750
0.000 0.000 0.500
0.000 0.500 0.000
0.500 0.000 0.000
0.500 0.500 0.500
```

ΔH_f (0 K) = -63 kJ/mol of formula units
Space-group type = F-43m, No. 216
DOS at the Fermi energy = 10.8 states/eV/f.u.
Spin magnetization = 1.73 μB per atom
Calculated total energy = -67.47 eV for the cell shown

---

[3]
Computed, not measured: crystalline NdEuMgGa at its relaxed geometry at the PBE-GGA level of DFT.

Cell and atoms, written as POSCAR:
```
NdEuMgGa
1.0
7.620 0.000 0.000
0.000 7.620 0.000
0.000 0.000 7.620
Nd Eu Mg Ga
4 4 4 4
direct
0.000 0.000 0.000
0.000 0.500 0.500
0.500 0.000 0.500
0.500 0.500 0.000
0.000 0.000 0.500
0.000 0.500 0.000
0.500 0.000 0.000
0.500 0.500 0.500
0.250 0.250 0.750
0.250 0.750 0.250
0.750 0.250 0.250
0.750 0.750 0.750
0.250 0.250 0.250
0.250 0.750 0.750
0.750 0.250 0.750
0.750 0.750 0.250
```

ΔH_f (0 K) = -111 kJ/mol of formula units
Space-group type = F-43m, No. 216
DOS at the Fermi energy = 7.1 states/eV/f.u.
Spin magnetization = 1.85 μB per atom
Calculated total energy = -83.25 eV for the cell shown

---

[4]
Computed, not measured: crystalline EuMgGaPb at its relaxed geometry at the PBE-GGA level of DFT.

Cell and atoms, written as POSCAR:
```
EuMgGaPb
1.0
7.465 0.000 0.000
0.000 7.465 0.000
0.000 0.000 7.465
Eu Mg Ga Pb
4 4 4 4
direct
0.000 0.000 0.000
0.000 0.500 0.500
0.500 0.000 0.500
0.500 0.500 0.000
0.000 0.000 0.500
0.000 0.500 0.000
0.500 0.000 0.000
0.500 0.500 0.500
0.250 0.250 0.750
0.250 0.750 0.250
0.750 0.250 0.250
0.750 0.750 0.750
0.250 0.250 0.250
0.250 0.750 0.750
0.750 0.250 0.750
0.750 0.750 0.250
```

ΔH_f (0 K) = -116 kJ/mol of formula units
Space-group type = F-43m, No. 216
DOS at the Fermi energy = 2.2 states/eV/f.u.
Spin magnetization = 1.73 μB per atom
Calculated total energy = -79.23 eV for the cell shown

---

[5]
Computed, not measured: crystalline EuMgGaPd at its relaxed geometry at the PBE-GGA level of DFT.

Cell and atoms, written as POSCAR:
```
EuMgGaPd
1.0
6.979 0.000 0.000
0.000 6.979 0.000
0.000 0.000 6.979
Eu Mg Ga Pd
4 4 4 4
direct
0.000 0.000 0.000
0.000 0.500 0.500
0.500 0.000 0.500
0.500 0.500 0.000
0.000 0.000 0.500
0.000 0.500 0.000
0.500 0.000 0.000
0.500 0.500 0.500
0.250 0.250 0.250
0.250 0.750 0.750
0.750 0.250 0.750
0.750 0.750 0.250
0.250 0.250 0.750
0.250 0.750 0.250
0.750 0.250 0.250
0.750 0.750 0.750
```

ΔH_f (0 K) = -173 kJ/mol of formula units
Space-group type = F-43m, No. 216
DOS at the Fermi energy = 8.9 states/eV/f.u.
Spin magnetization = 1.70 μB per atom
Calculated total energy = -87.53 eV for the cell shown

---

[6]
Computed, not measured: crystalline PrEuMgGa at its relaxed geometry at the PBE-GGA level of DFT.

Cell and atoms, written as POSCAR:
```
PrEuMgGa
1.0
7.649 0.000 0.000
0.000 7.649 0.000
0.000 0.000 7.649
Pr Eu Mg Ga
4 4 4 4
direct
0.000 0.000 0.000
0.000 0.500 0.500
0.500 0.000 0.500
0.500 0.500 0.000
0.000 0.000 0.500
0.000 0.500 0.000
0.500 0.000 0.000
0.500 0.500 0.500
0.250 0.250 0.750
0.250 0.750 0.250
0.750 0.250 0.250
0.750 0.750 0.750
0.250 0.250 0.250
0.250 0.750 0.750
0.750 0.250 0.750
0.750 0.750 0.250
```

ΔH_f (0 K) = -111 kJ/mol of formula units
Space-group type = F-43m, No. 216
DOS at the Fermi energy = 6.8 states/eV/f.u.
Spin magnetization = 1.85 μB per atom
Calculated total energy = -83.30 eV for the cell shown

---

Question: Look up the DOS at the Fermi energy of the fifth one.
Answer: 8.9 states/eV/f.u.

---

Repeat the first record exactly.
Computed, not measured: crystalline EuMgGa at its relaxed geometry at the PBE-GGA level of DFT.

Cell and atoms, written as POSCAR:
```
EuMgGa
1.0
7.002 0.000 0.000
0.000 7.002 0.000
0.000 0.000 7.002
Eu Mg Ga
4 4 4
direct
0.000 0.000 0.000
0.000 0.500 0.500
0.500 0.000 0.500
0.500 0.500 0.000
0.000 0.000 0.500
0.000 0.500 0.000
0.500 0.000 0.000
0.500 0.500 0.500
0.250 0.250 0.750
0.250 0.750 0.250
0.750 0.250 0.250
0.750 0.750 0.750
```

ΔH_f (0 K) = -56 kJ/mol of formula units
Space-group type = F-43m, No. 216
DOS at the Fermi energy = 10.2 states/eV/f.u.
Spin magnetization = 2.40 μB per atom
Calculated total energy = -61.91 eV for the cell shown

---

Question: The highest spin magnetization belongs to which entry?
Answer: EuMgGa

---

Question: The lowest ΔH_f (0 K) belongs to which entry?
Answer: EuMgGaPd